The following is a PBE calculation of an optimized crystal structure of LaPrGaCl, from Alexandria.

Geometry as CIF:
```
data_LaPrGaCl
_chemical_formula_sum 'La4 Pr4 Ga4 Cl4'
_cell_length_a 7.510
_cell_length_b 7.510
_cell_length_c 7.510
_cell_angle_alpha 90.00
_cell_angle_beta 90.00
_cell_angle_gamma 90.00
_symmetry_space_group_name_H-M 'P 1'
_symmetry_Int_Tables_number 1
loop_
_symmetry_equiv_pos_as_xyz
'x,y,z'
loop_
_atom_site_label
_atom_site_type_symbol
_atom_site_fract_x
_atom_site_fract_y
_atom_site_fract_z
La1 La 0.000 0.000 0.000
La2 La 0.000 0.500 0.500
La3 La 0.500 0.000 0.500
La4 La 0.500 0.500 0.000
Pr1 Pr 0.000 0.000 0.500
Pr2 Pr 0.000 0.500 0.000
Pr3 Pr 0.500 0.000 0.000
Pr4 Pr 0.500 0.500 0.500
Ga1 Ga 0.250 0.250 0.750
Ga2 Ga 0.250 0.750 0.250
Ga3 Ga 0.750 0.250 0.250
Ga4 Ga 0.750 0.750 0.750
Cl1 Cl 0.250 0.250 0.250
Cl2 Cl 0.250 0.750 0.750
Cl3 Cl 0.750 0.250 0.750
Cl4 Cl 0.750 0.750 0.250
```

Values from the calculation:
The value obtained for the energy relative to the elements, uncorrected is -0.84 eV/atom. Its density is 6.04 g cm⁻³. The value obtained for the volume is 423.5 Å³/cell. The calculation puts the magnetic moment at 0.00 μB/f.u. Its density of states at the Fermi level is 1.18 states/eV/atom. For the calculated total energy, the calculation gives -4.487 eV per atom.

=====

The following is a PBE calculation of an optimized crystal structure of RbTi4Br7, from Alexandria.

Geometry as CIF:
```
data_RbTi4Br7
_chemical_formula_sum 'Rb2 Ti8 Br14'
_cell_length_a 4.879
_cell_length_b 20.077
_cell_length_c 7.126
_cell_angle_alpha 90.00
_cell_angle_beta 90.00
_cell_angle_gamma 90.00
_symmetry_space_group_name_H-M 'P 1'
_symmetry_Int_Tables_number 1
loop_
_symmetry_equiv_pos_as_xyz
'x,y,z'
loop_
_atom_site_label
_atom_site_type_symbol
_atom_site_fract_x
_atom_site_fract_y
_atom_site_fract_z
Rb1 Rb 0.250 0.250 0.209
Rb2 Rb 0.750 0.750 0.791
Ti1 Ti 0.250 0.000 0.895
Ti2 Ti 0.250 0.500 0.895
Ti3 Ti 0.250 0.611 0.113
Ti4 Ti 0.250 0.889 0.113
Ti5 Ti 0.750 0.000 0.105
Ti6 Ti 0.750 0.111 0.887
Ti7 Ti 0.750 0.389 0.887
Ti8 Ti 0.750 0.500 0.105
Br1 Br 0.250 0.005 0.272
Br2 Br 0.250 0.123 0.748
Br3 Br 0.250 0.377 0.748
Br4 Br 0.250 0.495 0.272
Br5 Br 0.250 0.626 0.754
Br6 Br 0.250 0.750 0.146
Br7 Br 0.250 0.874 0.754
Br8 Br 0.750 0.126 0.246
Br9 Br 0.750 0.250 0.854
Br10 Br 0.750 0.374 0.246
Br11 Br 0.750 0.505 0.728
Br12 Br 0.750 0.623 0.252
Br13 Br 0.750 0.877 0.252
Br14 Br 0.750 0.995 0.728
```

Values from the calculation:
The value obtained for the energy relative to the elements, uncorrected is -0.92 eV/atom. Its density is 3.98 g cm⁻³. The value obtained for the volume is 698.1 Å³/cell. The calculation puts the magnetic moment at 2.03 μB/f.u. Its density of states at the Fermi level is 0.63 states/eV/atom. For the calculated total energy, the calculation gives -4.612 eV per atom.

=====

The following is a PBE calculation of an optimized crystal structure of La3PmInCo, from Alexandria.

Geometry as CIF:
```
data_La3PmInCo
_chemical_formula_sum 'La6 Pm2 In2 Co2'
_cell_length_a 9.372
_cell_length_b 9.372
_cell_length_c 6.115
_cell_angle_alpha 108.72
_cell_angle_beta 108.72
_cell_angle_gamma 45.15
_symmetry_space_group_name_H-M 'P 1'
_symmetry_Int_Tables_number 1
loop_
_symmetry_equiv_pos_as_xyz
'x,y,z'
loop_
_atom_site_label
_atom_site_type_symbol
_atom_site_fract_x
_atom_site_fract_y
_atom_site_fract_z
La1 La 0.125 0.637 0.884
La2 La 0.306 0.306 0.296
La3 La 0.363 0.875 0.116
La4 La 0.637 0.125 0.884
La5 La 0.694 0.694 0.704
La6 La 0.875 0.363 0.116
Pm1 Pm 0.241 0.759 0.500
Pm2 Pm 0.759 0.241 0.500
In1 In 0.190 0.190 0.692
In2 In 0.810 0.810 0.308
Co1 Co 0.468 0.468 0.153
Co2 Co 0.532 0.532 0.847
```

Values from the calculation:
Its density is 6.84 g cm⁻³. The value obtained for the volume is 357.0 Å³/cell. The calculation puts the magnetic moment at 0.00 μB/f.u. Its formation energy is -0.2487 eV per atom. Its density of states at the Fermi level is 0.95 states/eV/atom. For the calculated total energy, the calculation gives -5.145 eV per atom.

=====

The following is a PBE calculation of an optimized crystal structure of YLuMgAl, from Alexandria.

Geometry as CIF:
```
data_YLuMgAl
_chemical_formula_sum 'Y4 Lu4 Mg4 Al4'
_cell_length_a 7.284
_cell_length_b 7.284
_cell_length_c 7.284
_cell_angle_alpha 90.00
_cell_angle_beta 90.00
_cell_angle_gamma 90.00
_symmetry_space_group_name_H-M 'P 1'
_symmetry_Int_Tables_number 1
loop_
_symmetry_equiv_pos_as_xyz
'x,y,z'
loop_
_atom_site_label
_atom_site_type_symbol
_atom_site_fract_x
_atom_site_fract_y
_atom_site_fract_z
Y1 Y 0.000 0.000 0.000
Y2 Y 0.000 0.500 0.500
Y3 Y 0.500 0.000 0.500
Y4 Y 0.500 0.500 0.000
Lu1 Lu 0.000 0.000 0.500
Lu2 Lu 0.000 0.500 0.000
Lu3 Lu 0.500 0.000 0.000
Lu4 Lu 0.500 0.500 0.500
Mg1 Mg 0.250 0.250 0.250
Mg2 Mg 0.250 0.750 0.750
Mg3 Mg 0.750 0.250 0.750
Mg4 Mg 0.750 0.750 0.250
Al1 Al 0.250 0.250 0.750
Al2 Al 0.250 0.750 0.250
Al3 Al 0.750 0.250 0.250
Al4 Al 0.750 0.750 0.750
```

Values from the calculation:
Its density is 5.42 g cm⁻³. The value obtained for the volume is 386.4 Å³/cell. The calculation puts the magnetic moment at 0.00 μB/f.u. Its formation energy is -0.2688 eV per atom. Its density of states at the Fermi level is 0.60 states/eV/atom. For the calculated total energy, the calculation gives -4.349 eV per atom.

=====

The following is a PBE calculation of an optimized crystal structure of Cs2PrNbS4, from Alexandria.

Geometry as CIF:
```
data_Cs2PrNbS4
_chemical_formula_sum 'Cs4 Pr2 Nb2 S8'
_cell_length_a 7.755
_cell_length_b 7.755
_cell_length_c 9.774
_cell_angle_alpha 90.00
_cell_angle_beta 90.00
_cell_angle_gamma 90.00
_symmetry_space_group_name_H-M 'P 1'
_symmetry_Int_Tables_number 1
loop_
_symmetry_equiv_pos_as_xyz
'x,y,z'
loop_
_atom_site_label
_atom_site_type_symbol
_atom_site_fract_x
_atom_site_fract_y
_atom_site_fract_z
Cs1 Cs 0.000 0.000 0.000
Cs2 Cs 0.000 0.500 0.250
Cs3 Cs 0.500 0.000 0.750
Cs4 Cs 0.500 0.500 0.500
Pr1 Pr 0.000 0.500 0.750
Pr2 Pr 0.500 0.000 0.250
Nb1 Nb 0.000 0.000 0.500
Nb2 Nb 0.500 0.500 0.000
S1 S 0.150 0.766 0.612
S2 S 0.234 0.150 0.388
S3 S 0.266 0.350 0.888
S4 S 0.350 0.734 0.112
S5 S 0.650 0.266 0.112
S6 S 0.734 0.650 0.888
S7 S 0.766 0.850 0.388
S8 S 0.850 0.234 0.612
```

Values from the calculation:
The value obtained for the energy relative to the elements, uncorrected is -1.18 eV/atom. Its density is 3.55 g cm⁻³. The value obtained for the volume is 587.8 Å³/cell. The calculation puts the magnetic moment at 2.01 μB/f.u. Its density of states at the Fermi level is 0.26 states/eV/atom. For the calculated total energy, the calculation gives -5.317 eV per atom.

=====

The following is a PBE calculation of an optimized crystal structure of AcGeRhN, from Alexandria.

Geometry as CIF:
```
data_AcGeRhN
_chemical_formula_sum 'Ac2 Ge2 Rh2 N2'
_cell_length_a 4.124
_cell_length_b 4.124
_cell_length_c 8.739
_cell_angle_alpha 90.00
_cell_angle_beta 90.00
_cell_angle_gamma 90.00
_symmetry_space_group_name_H-M 'P 1'
_symmetry_Int_Tables_number 1
loop_
_symmetry_equiv_pos_as_xyz
'x,y,z'
loop_
_atom_site_label
_atom_site_type_symbol
_atom_site_fract_x
_atom_site_fract_y
_atom_site_fract_z
Ac1 Ac 0.250 0.250 0.159
Ac2 Ac 0.750 0.750 0.841
Ge1 Ge 0.250 0.250 0.652
Ge2 Ge 0.750 0.750 0.348
Rh1 Rh 0.250 0.750 0.500
Rh2 Rh 0.750 0.250 0.500
N1 N 0.250 0.250 0.873
N2 N 0.750 0.750 0.127
```

Values from the calculation:
The value obtained for the energy relative to the elements, uncorrected is -0.93 eV/atom. Its density is 9.31 g cm⁻³. The value obtained for the volume is 148.6 Å³/cell. The calculation puts the magnetic moment at 0.00 μB/f.u. Its density of states at the Fermi level is 0.43 states/eV/atom. For the calculated total energy, the calculation gives -7.030 eV per atom.

=====

- Which value of magnetic moment does entry 6 give?
  0.00 μB/f.u.

=====

- magnetic moment of number 6 (AcGeRhN)?
  0.00 μB/f.u.

=====

- Which value of magnetic moment does entry 3 give?
  0.00 μB/f.u.

=====

- Which value of calculated total energy does entry 6 give?
  -7.030 eV per atom